No. 1
A plane-wave DFT calculation with PBE was carried out for a relaxed structure of BeInP2. Values from VASP.

```
&SYSTEM
  ibrav = 0, nat = 4, ntyp = 3
/
ATOMIC_SPECIES
P 30.97 P.upf
Be 9.01 Be.upf
In 114.82 In.upf
CELL_PARAMETERS angstrom
-1.959 -1.125 -2.976
-2.392 -1.786 2.250
-3.225 4.739 0.332
ATOMIC_POSITIONS crystal
P 0.000 0.875 0.057
Be 0.000 0.375 0.250
P 0.500 0.375 0.443
In 0.500 0.875 0.750
```

Properties
* VASP energy: -4.376 eV/atom
* calculated formation energy: -0.055 eV per atom
* Fermi-level density of states: 1.57 states/eV/f.u.
* space group: P-4m2
* spin magnetization: 0.0 μB/cell

=====

No. 2
A plane-wave DFT calculation with PBE was carried out for a relaxed structure of Cs2PdI4Br2. Values from VASP.

```
&SYSTEM
  ibrav = 0, nat = 9, ntyp = 4
/
ATOMIC_SPECIES
I 126.90 I.upf
Br 79.90 Br.upf
Cs 132.91 Cs.upf
Pd 106.42 Pd.upf
CELL_PARAMETERS angstrom
-4.818 -3.969 5.286
7.263 3.017 2.250
-1.843 7.506 -2.678
ATOMIC_POSITIONS crystal
I 0.517 0.758 0.758
Br 0.000 0.213 0.213
Cs 0.500 0.750 0.250
Cs 0.500 0.250 0.750
I 0.483 0.242 0.242
I 0.000 0.758 0.242
I 0.000 0.242 0.758
Pd 0.000 0.000 0.000
Br 0.000 0.787 0.787
```

Properties
* VASP energy: -2.675 eV/atom
* Fermi-level density of states: 1.62 states/eV/f.u.
* raw formation energy: -0.847 eV per atom
* space group: I4/mmm
* spin magnetization: 0.0 μB/cell

=====

No. 3
A plane-wave DFT calculation with PBE was carried out for a relaxed structure of Sr2ZnP2. Values from VASP.

```
&SYSTEM
  ibrav = 0, nat = 10, ntyp = 3
/
ATOMIC_SPECIES
P 30.97 P.upf
Sr 87.62 Sr.upf
Zn 65.41 Zn.upf
CELL_PARAMETERS angstrom
-4.375 5.986 -1.896
-4.661 -4.644 -3.908
-2.349 -0.603 3.518
ATOMIC_POSITIONS crystal
P 0.835 0.665 0.000
Sr 0.351 0.149 0.500
Sr 0.149 0.649 0.500
Sr 0.649 0.851 0.500
P 0.335 0.835 0.000
P 0.665 0.165 0.000
Sr 0.851 0.351 0.500
P 0.165 0.335 0.000
Zn 0.500 0.500 0.000
Zn 0.000 0.000 0.000
```

Properties
* VASP energy: -3.666 eV/atom
* calculated formation energy: -0.575 eV per atom
* Fermi-level density of states: 2.40 states/eV/f.u.
* space group: P4/mbm
* spin magnetization: 0.1 μB/cell